Entry from Alexandria: a relaxed structure of NaTmHg6 (PBE).

Results
Electronic total energy (eV per atom): -1.18
Calculated formation energy (kcal/mol of atoms): -5.29
Calculated volume (A^3/atom): 24.42
Fermi-level density of states (states/eV per atom): 0.31

```
NaTmHg6
1.0
4.580 0.000 0.000
0.000 4.580 0.000
0.000 0.000 9.314
Na Tm Hg
1 1 6
Cartesian
0.000 0.000 0.000
0.000 0.000 4.657
0.000 2.290 2.351
0.000 2.290 6.963
2.290 0.000 2.351
2.290 0.000 6.963
2.290 2.290 0.000
2.290 2.290 4.657
```

---

Entry from Alexandria: a relaxed structure of PmGaP2 (PBE).

Results
Electronic total energy (eV per atom): -5.13
Calculated formation energy (kcal/mol of atoms): -11.02
Calculated volume (A^3/atom): 30.83

```
PmGaP2
1.0
2.243 1.295 7.074
-2.243 1.295 7.074
0.000 -2.590 7.074
Pm Ga P
1 1 2
Cartesian
0.000 0.000 0.000
0.000 0.000 10.611
0.000 0.000 8.441
0.000 0.000 12.781
```

---

Entry from Alexandria: a relaxed structure of Nd2YTlC (PBE).

Results
Electronic total energy (eV per atom): -5.86
Calculated formation energy (kcal/mol of atoms): -7.85
Calculated volume (A^3/atom): 26.11
Fermi-level density of states (states/eV per atom): 0.47

```
Nd2YTlC
1.0
5.141 0.000 0.000
0.000 5.141 0.000
0.000 0.000 4.940
Nd Y Tl C
2 1 1 1
Cartesian
0.000 2.571 0.000
2.571 0.000 0.000
0.000 0.000 2.470
2.571 2.571 2.470
0.000 0.000 0.000
```

---

Entry from Alexandria: a relaxed structure of RbCr (PBE).

Results
Electronic total energy (eV per atom): -3.83
Calculated formation energy (kcal/mol of atoms): 33.69
Calculated volume (A^3/atom): 52.49
Fermi-level density of states (states/eV per atom): 0.38

```
RbCr
1.0
7.632 0.000 0.000
0.000 7.632 0.000
0.000 0.000 7.209
Rb Cr
4 4
Cartesian
1.337 1.337 0.000
2.479 5.153 3.604
5.153 2.479 3.604
6.295 6.295 0.000
0.607 0.607 3.604
3.209 4.423 0.000
4.423 3.209 0.000
7.025 7.025 3.604
```

---

Entry from Alexandria: a relaxed structure of Cs2SnF5 (PBE).

Results
Electronic total energy (eV per atom): -4.43
Calculated volume (A^3/atom): 25.47
Fermi-level density of states (states/eV per atom): 0.13
Energy relative to the elements, uncorrected (eV per atom): -2.55

```
Cs2SnF5
1.0
-3.439 3.439 4.308
3.439 -3.439 4.308
3.439 3.439 -4.308
Cs Sn F
2 1 5
Cartesian
3.439 0.000 0.000
0.000 3.439 0.000
0.000 0.000 2.088
1.957 1.957 -2.167
1.482 -1.482 2.141
-1.482 1.482 2.141
1.482 1.482 2.141
0.000 0.000 4.087
```

---

Entry from Alexandria: a relaxed structure of NaAc3Y2Te6 (PBE).

Results
Electronic total energy (eV per atom): -5.18
Calculated volume (A^3/atom): 33.97
Fermi-level density of states (states/eV per atom): 0.41
Energy relative to the elements, uncorrected (eV per atom): -1.40

```
NaAc3Y2Te6
1.0
9.978 -2.286 0.000
9.978 2.286 0.000
-2.039 0.000 8.935
Na Ac Y Te
1 3 2 6
Cartesian
0.000 0.000 0.000
-1.020 0.000 4.468
6.402 0.000 1.515
11.515 0.000 7.420
5.284 0.000 5.866
12.633 0.000 3.070
3.100 0.000 0.911
2.253 0.000 5.125
8.252 0.000 6.781
9.665 0.000 2.154
15.664 0.000 3.811
14.817 0.000 8.024
```

---

Entry from Alexandria: a relaxed structure of CdSn2H (PBE).

Results
Electronic total energy (eV per atom): -2.73
Calculated volume (A^3/atom): 24.45
Fermi-level density of states (states/eV per atom): 0.48

```
CdSn2H
1.0
-2.745 2.745 6.491
2.745 -2.745 6.491
2.745 2.745 -6.491
Cd Sn H
2 4 2
Cartesian
0.000 0.000 0.000
0.000 2.745 3.245
1.372 -0.665 4.868
2.080 1.372 1.623
1.372 3.410 -1.623
0.665 1.372 8.114
2.745 0.000 3.245
0.000 0.000 6.491
```

---

Entry from Alexandria: a relaxed structure of Y2NiAg (PBE).

Results
Electronic total energy (eV per atom): -5.71
Calculated formation energy (kcal/mol of atoms): -7.47
Calculated volume (A^3/atom): 22.73
Fermi-level density of states (states/eV per atom): 0.58

```
Y2NiAg
1.0
3.760 0.000 0.000
0.000 4.585 0.000
-1.865 0.000 5.274
Y Ni Ag
2 1 1
Cartesian
0.000 0.000 0.000
0.006 2.292 2.952
1.882 0.000 2.311
1.883 2.292 0.673
```

---

Number 6 is which compound?
NaAc3Y2Te6

---

Look up the calculated volume of the eighth one.
22.73 A^3/atom